No. 1
A plane-wave DFT calculation with GGA-PBE was carried out for a relaxed LaErTm2Se6 crystal.

Lattice parameters (Å, degrees): 7.681 7.681 7.681 56.37 56.37 56.37
Atoms (fractional coordinates):
La 0.000 0.000 0.000
Er 0.491 0.491 0.491
Tm 0.293 0.293 0.293
Tm 0.798 0.798 0.798
Se 0.080 0.669 0.425
Se 0.197 0.579 0.897
Se 0.425 0.080 0.669
Se 0.579 0.897 0.197
Se 0.669 0.425 0.080
Se 0.897 0.197 0.579

Summary:
Total DFT energy (no corrections) (eV/atom): -5.804
Crystal system: trigonal
Space-group type: R3, No. 146
Calculated volume (Å³ per atom): 29.35
Theoretical density (g/cm3): 6.323

***

No. 2
A plane-wave DFT calculation with GGA-PBE was carried out for a relaxed La2ErTm3Se6 crystal.

Lattice parameters (Å, degrees): 9.254 9.254 8.363 104.38 104.38 25.38
Atoms (fractional coordinates):
La 0.167 0.167 0.334
La 0.833 0.833 0.666
Er 0.500 0.500 0.000
Tm 0.170 0.170 0.834
Tm 0.500 0.500 0.500
Tm 0.830 0.830 0.166
Se 0.007 0.007 0.752
Se 0.335 0.335 0.934
Se 0.339 0.339 0.403
Se 0.661 0.661 0.597
Se 0.665 0.665 0.066
Se 0.993 0.993 0.248

Summary:
Total DFT energy (no corrections) (eV/atom): -5.839
Crystal system: monoclinic
Space-group type: C2/m, No. 12
Calculated volume (Å³ per atom): 24.74
Theoretical density (g/cm3): 7.976

***

No. 3
A plane-wave DFT calculation with GGA-PBE was carried out for a relaxed LaErTmSe3 crystal.

Lattice parameters (Å, degrees): 7.999 4.079 10.264 90.00 104.16 90.00
Atoms (fractional coordinates):
La 0.185 0.250 0.211
La 0.815 0.750 0.789
Er 0.170 0.250 0.624
Er 0.830 0.750 0.376
Tm 0.333 0.750 0.908
Tm 0.667 0.250 0.092
Se 0.095 0.250 0.890
Se 0.204 0.750 0.444
Se 0.481 0.750 0.191
Se 0.519 0.250 0.809
Se 0.796 0.250 0.556
Se 0.905 0.750 0.110

Summary:
Total DFT energy (no corrections) (eV/atom): -5.723
Crystal system: monoclinic
Space-group type: P2_1/m, No. 11
Calculated volume (Å³ per atom): 27.06
Theoretical density (g/cm3): 7.282

***

No. 4
A plane-wave DFT calculation with GGA-PBE was carried out for a relaxed La2ErTmSe6 crystal.

Lattice parameters (Å, degrees): 7.723 7.723 7.723 57.26 57.26 57.26
Atoms (fractional coordinates):
La 0.000 0.000 0.000
La 0.500 0.500 0.500
Er 0.295 0.295 0.295
Tm 0.795 0.795 0.795
Se 0.075 0.424 0.670
Se 0.169 0.922 0.576
Se 0.424 0.670 0.075
Se 0.576 0.169 0.922
Se 0.670 0.075 0.424
Se 0.922 0.576 0.169

Summary:
Total DFT energy (no corrections) (eV/atom): -5.892
Crystal system: trigonal
Space-group type: R3, No. 146
Calculated volume (Å³ per atom): 30.52
Theoretical density (g/cm3): 5.919

***

No. 5
A plane-wave DFT calculation with GGA-PBE was carried out for a relaxed La3ErTm3Se8 crystal.

Lattice parameters (Å, degrees): 8.388 8.388 8.388 58.53 58.53 58.53
Atoms (fractional coordinates):
La 0.000 0.500 0.500
La 0.500 0.000 0.500
La 0.500 0.500 0.000
Er 0.500 0.500 0.500
Tm 0.000 0.000 0.500
Tm 0.000 0.500 0.000
Tm 0.500 0.000 0.000
Se 0.237 0.747 0.747
Se 0.242 0.242 0.242
Se 0.253 0.253 0.763
Se 0.253 0.763 0.253
Se 0.747 0.237 0.747
Se 0.747 0.747 0.237
Se 0.758 0.758 0.758
Se 0.763 0.253 0.253

Summary:
Total DFT energy (no corrections) (eV/atom): -5.929
Crystal system: trigonal
Space-group type: R-3m, No. 166
Calculated volume (Å³ per atom): 26.89
Theoretical density (g/cm3): 7.092

***

No. 6
A plane-wave DFT calculation with GGA-PBE was carried out for a relaxed La2ErTmSe4 crystal.

Lattice parameters (Å, degrees): 7.106 4.081 7.446 90.00 108.41 90.00
Atoms (fractional coordinates):
La 0.000 0.000 0.000
La 0.500 0.500 0.000
Er 0.000 0.500 0.500
Tm 0.500 0.000 0.500
Se 0.243 0.000 0.726
Se 0.259 0.500 0.275
Se 0.741 0.500 0.725
Se 0.757 0.000 0.274

Summary:
Total DFT energy (no corrections) (eV/atom): -5.954
Crystal system: monoclinic
Space-group type: P2/m, No. 10
Calculated volume (Å³ per atom): 25.61
Theoretical density (g/cm3): 7.536

***

No. 7
A plane-wave DFT calculation with GGA-PBE was carried out for a relaxed LaYEr2Se6 crystal.

Lattice parameters (Å, degrees): 7.716 7.716 7.716 56.40 56.40 56.40
Atoms (fractional coordinates):
La 0.000 0.000 0.000
Y 0.492 0.492 0.492
Er 0.294 0.294 0.294
Er 0.798 0.798 0.798
Se 0.080 0.671 0.423
Se 0.195 0.580 0.899
Se 0.423 0.080 0.671
Se 0.580 0.899 0.195
Se 0.671 0.423 0.080
Se 0.899 0.195 0.580

Summary:
Total DFT energy (no corrections) (eV/atom): -6.023
Crystal system: trigonal
Space-group type: R3, No. 146
Calculated volume (Å³ per atom): 29.78
Theoretical density (g/cm3): 5.777

***

No. 8
A plane-wave DFT calculation with GGA-PBE was carried out for a relaxed LaY2ErSe6 crystal.

Lattice parameters (Å, degrees): 7.747 7.747 7.747 56.30 56.30 56.30
Atoms (fractional coordinates):
La 0.000 0.000 0.000
Y 0.294 0.294 0.294
Y 0.799 0.799 0.799
Er 0.492 0.492 0.492
Se 0.087 0.676 0.419
Se 0.203 0.585 0.892
Se 0.419 0.087 0.676
Se 0.585 0.892 0.203
Se 0.676 0.419 0.087
Se 0.892 0.203 0.585

Summary:
Total DFT energy (no corrections) (eV/atom): -6.216
Crystal system: trigonal
Space-group type: R3, No. 146
Calculated volume (Å³ per atom): 30.06
Theoretical density (g/cm3): 5.290

***

No. 9
A plane-wave DFT calculation with GGA-PBE was carried out for a relaxed La4YEr3Se8 crystal.

Lattice parameters (Å, degrees): 8.457 8.457 8.457 58.53 58.53 58.53
Atoms (fractional coordinates):
La 0.000 0.000 0.000
La 0.000 0.500 0.500
La 0.500 0.000 0.500
La 0.500 0.500 0.000
Y 0.500 0.500 0.500
Er 0.000 0.000 0.500
Er 0.000 0.500 0.000
Er 0.500 0.000 0.000
Se 0.240 0.744 0.744
Se 0.242 0.242 0.242
Se 0.256 0.256 0.760
Se 0.256 0.760 0.256
Se 0.744 0.240 0.744
Se 0.744 0.744 0.240
Se 0.758 0.758 0.758
Se 0.760 0.256 0.256

Summary:
Total DFT energy (no corrections) (eV/atom): -6.097
Crystal system: trigonal
Space-group type: R-3m, No. 166
Calculated volume (Å³ per atom): 25.84
Theoretical density (g/cm3): 7.142

***

No. 10
A plane-wave DFT calculation with GGA-PBE was carried out for a relaxed La3Y3ErSe8 crystal.

Lattice parameters (Å, degrees): 8.429 8.429 8.429 58.89 58.89 58.89
Atoms (fractional coordinates):
La 0.000 0.500 0.500
La 0.500 0.000 0.500
La 0.500 0.500 0.000
Y 0.000 0.000 0.500
Y 0.000 0.500 0.000
Y 0.500 0.000 0.000
Er 0.500 0.500 0.500
Se 0.243 0.745 0.745
Se 0.244 0.244 0.244
Se 0.255 0.255 0.757
Se 0.255 0.757 0.255
Se 0.745 0.243 0.745
Se 0.745 0.745 0.243
Se 0.756 0.756 0.756
Se 0.757 0.255 0.255

Summary:
Total DFT energy (no corrections) (eV/atom): -6.360
Crystal system: trigonal
Space-group type: R-3m, No. 166
Calculated volume (Å³ per atom): 27.52
Theoretical density (g/cm3): 5.963

***

No. 11
A plane-wave DFT calculation with GGA-PBE was carried out for a relaxed La3YEr3Se8 crystal.

Lattice parameters (Å, degrees): 8.397 8.397 8.397 58.74 58.74 58.74
Atoms (fractional coordinates):
La 0.000 0.500 0.500
La 0.500 0.000 0.500
La 0.500 0.500 0.000
Y 0.500 0.500 0.500
Er 0.000 0.000 0.500
Er 0.000 0.500 0.000
Er 0.500 0.000 0.000
Se 0.237 0.749 0.749
Se 0.243 0.243 0.243
Se 0.251 0.251 0.763
Se 0.251 0.763 0.251
Se 0.749 0.237 0.749
Se 0.749 0.749 0.237
Se 0.757 0.757 0.757
Se 0.763 0.251 0.251

Summary:
Total DFT energy (no corrections) (eV/atom): -6.091
Crystal system: trigonal
Space-group type: R-3m, No. 166
Calculated volume (Å³ per atom): 27.11
Theoretical density (g/cm3): 6.694

***

No. 12
A plane-wave DFT calculation with GGA-PBE was carried out for a relaxed La3YEr2Se6 crystal.

Lattice parameters (Å, degrees): 7.170 7.170 7.380 99.31 99.31 120.17
Atoms (fractional coordinates):
La 0.000 0.000 0.000
La 0.335 0.665 0.000
La 0.665 0.335 0.000
Y 0.500 0.500 0.500
Er 0.167 0.833 0.500
Er 0.833 0.167 0.500
Se 0.088 0.424 0.271
Se 0.240 0.240 0.728
Se 0.424 0.088 0.271
Se 0.576 0.912 0.729
Se 0.760 0.760 0.272
Se 0.912 0.576 0.729

Summary:
Total DFT energy (no corrections) (eV/atom): -6.144
Crystal system: monoclinic
Space-group type: C2/m, No. 12
Calculated volume (Å³ per atom): 25.85
Theoretical density (g/cm3): 7.033

***

No. 13
A plane-wave DFT calculation with GGA-PBE was carried out for a relaxed La2ErZnSe5 crystal.

Lattice parameters (Å, degrees): 9.152 9.152 12.574 90.00 90.00 154.25
Atoms (fractional coordinates):
La 0.117 0.883 0.500
La 0.129 0.871 0.135
La 0.871 0.129 0.635
La 0.883 0.117 0.000
Er 0.197 0.803 0.831
Er 0.803 0.197 0.331
Zn 0.448 0.552 0.256
Zn 0.552 0.448 0.756
Se 0.040 0.960 0.863
Se 0.293 0.707 0.488
Se 0.313 0.687 0.172
Se 0.355 0.645 0.820
Se 0.495 0.505 0.582
Se 0.505 0.495 0.082
Se 0.645 0.355 0.320
Se 0.687 0.313 0.672
Se 0.707 0.293 0.988
Se 0.960 0.040 0.363

Summary:
Total DFT energy (no corrections) (eV/atom): -5.366
Crystal system: orthorhombic
Space-group type: Cmc2_1, No. 36
Calculated volume (Å³ per atom): 25.43
Theoretical density (g/cm3): 6.569

***

No. 14
A plane-wave DFT calculation with GGA-PBE was carried out for a relaxed LaEr4Si4 crystal.

Lattice parameters (Å, degrees): 9.253 9.253 5.648 90.00 90.00 90.00
Atoms (fractional coordinates):
La 0.250 0.250 0.250
La 0.750 0.750 0.750
Er 0.106 0.637 0.129
Er 0.137 0.894 0.629
Er 0.363 0.606 0.629
Er 0.394 0.863 0.129
Er 0.606 0.137 0.871
Er 0.637 0.394 0.371
Er 0.863 0.106 0.371
Er 0.894 0.363 0.871
Si 0.052 0.587 0.636
Si 0.087 0.948 0.136
Si 0.413 0.552 0.136
Si 0.448 0.913 0.636
Si 0.552 0.087 0.364
Si 0.587 0.448 0.864
Si 0.913 0.052 0.864
Si 0.948 0.413 0.364

Summary:
Total DFT energy (no corrections) (eV/atom): -5.489
Crystal system: tetragonal
Space-group type: P4_2/n, No. 86
Calculated volume (Å³ per atom): 26.87
Theoretical density (g/cm3): 6.320

***

No. 15
A plane-wave DFT calculation with GGA-PBE was carried out for a relaxed LaEr2Si6 crystal.

Lattice parameters (Å, degrees): 7.141 7.141 3.997 90.00 90.00 120.00
Atoms (fractional coordinates):
La 0.000 0.000 0.000
Er 0.333 0.667 0.000
Er 0.667 0.333 0.000
Si 0.000 0.338 0.500
Si 0.000 0.662 0.500
Si 0.338 0.000 0.500
Si 0.338 0.338 0.500
Si 0.662 0.000 0.500
Si 0.662 0.662 0.500

Summary:
Total DFT energy (no corrections) (eV/atom): -5.717
Crystal system: hexagonal
Space-group type: P6/mmm, No. 191
Calculated volume (Å³ per atom): 19.61
Theoretical density (g/cm3): 6.039

***

No. 16
A plane-wave DFT calculation with GGA-PBE was carried out for a relaxed LaErSi2 crystal.

Lattice parameters (Å, degrees): 3.896 5.872 5.872 44.27 90.00 90.00
Atoms (fractional coordinates):
La 0.000 0.000 0.000
Er 0.500 0.278 0.278
Si 0.000 0.718 0.718
Si 0.500 0.574 0.574

Summary:
Total DFT energy (no corrections) (eV/atom): -5.822
Crystal system: orthorhombic
Space-group type: Amm2, No. 38
Calculated volume (Å³ per atom): 23.45
Theoretical density (g/cm3): 6.415

***

No. 17
A plane-wave DFT calculation with GGA-PBE was carried out for a relaxed LaErSi crystal.

Lattice parameters (Å, degrees): 4.964 4.964 4.964 60.00 60.00 60.00
Atoms (fractional coordinates):
La 0.000 0.000 0.000
Er 0.500 0.500 0.500
Si 0.250 0.250 0.250

Summary:
Crystal system: cubic
Space-group type: F-43m, No. 216
Calculated volume (Å³ per atom): 28.82
ΔE to the lowest computed polymorph (meV/atom): 0
Theoretical density (g/cm3): 6.419

***

No. 18
A plane-wave DFT calculation with GGA-PBE was carried out for a relaxed La5ErSi4 crystal.

Lattice parameters (Å, degrees): 8.347 8.347 7.002 91.71 91.71 35.72
Atoms (fractional coordinates):
La 0.000 0.000 0.000
La 0.332 0.332 0.487
La 0.338 0.338 0.995
La 0.662 0.662 0.005
La 0.668 0.668 0.513
Er 0.000 0.000 0.500
Si 0.172 0.172 0.751
Si 0.493 0.493 0.727
Si 0.507 0.507 0.273
Si 0.828 0.828 0.249

Summary:
Total DFT energy (no corrections) (eV/atom): -5.602
Crystal system: monoclinic
Space-group type: C2/m, No. 12
Calculated volume (Å³ per atom): 28.47
Theoretical density (g/cm3): 5.682

***

No. 19
A plane-wave DFT calculation with GGA-PBE was carried out for a relaxed La3ErSi4 crystal.

Lattice parameters (Å, degrees): 9.039 9.039 9.039 152.40 139.19 49.98
Atoms (fractional coordinates):
La 0.000 0.000 0.000
La 0.305 0.805 0.500
La 0.695 0.195 0.500
Er 0.500 0.500 0.000
Si 0.058 0.372 0.686
Si 0.313 0.628 0.686
Si 0.687 0.372 0.314
Si 0.942 0.628 0.314

Summary:
Total DFT energy (no corrections) (eV/atom): -5.697
Crystal system: orthorhombic
Space-group type: Immm, No. 71
Calculated volume (Å³ per atom): 27.83
Theoretical density (g/cm3): 5.193

***

No. 20
A plane-wave DFT calculation with GGA-PBE was carried out for a relaxed LaErSi3 crystal.

Lattice parameters (Å, degrees): 12.512 12.512 3.967 90.00 90.00 160.00
Atoms (fractional coordinates):
La 0.072 0.928 0.750
La 0.928 0.072 0.250
Er 0.203 0.797 0.250
Er 0.797 0.203 0.750
Si 0.320 0.680 0.250
Si 0.378 0.622 0.750
Si 0.475 0.525 0.750
Si 0.525 0.475 0.250
Si 0.622 0.378 0.250
Si 0.680 0.320 0.750

Summary:
Total DFT energy (no corrections) (eV/atom): -5.880
Crystal system: orthorhombic
Space-group type: Cmcm, No. 63
Calculated volume (Å³ per atom): 21.24
Theoretical density (g/cm3): 6.104